# PBE-GGA ScInCl2, relaxed
# Distance to the lowest polymorph of the same formula ... 0.246 eV per atom
# E_form (uncorrected) ... -1.02 eV per atom
# Calculated total energy ... -4.22 eV per atom
# Density ... 3.673 Mg/m³
data_ScInCl2
_cell_length_a 3.5827
_cell_length_b 4.9989
_cell_length_c 6.0851
_cell_angle_alpha 90.00
_cell_angle_beta 106.89
_cell_angle_gamma 90.00
_symmetry_space_group_name_H-M 'P 1 m 1'
_symmetry_Int_Tables_number 6
loop_
_symmetry_equiv_pos_as_xyz
'x,y,z'
'x,-y,z'
loop_
_atom_site_label
_atom_site_type_symbol
_atom_site_fract_x
_atom_site_fract_y
_atom_site_fract_z
_atom_site_occupancy
Sc1 Sc 0.0000 0.0000 0.0000 1
In1 In 0.3629 0.5000 0.7199 1
Cl1 Cl 0.0634 0.5000 0.1285 1
Cl2 Cl 0.6488 0.0000 0.3018 1